(1)
This record from the Alexandria database describes crystalline LaNiMo at its relaxed geometry. The functional is PBE.

```
data_LaNiMo
_chemical_formula_sum 'La1 Ni1 Mo1'
_space_group_name_H-M_alt 'P 1'
_space_group_IT_number 1
_cell_length_a 2.9603
_cell_length_b 2.9603
_cell_length_c 7.4302
_cell_angle_alpha 90.00
_cell_angle_beta 90.00
_cell_angle_gamma 120.00
loop_
_space_group_symop_operation_xyz
'x,y,z'
loop_
_atom_site_label
_atom_site_type_symbol
_atom_site_fract_x
_atom_site_fract_y
_atom_site_fract_z
Ni1 Ni 0.3333 0.6667 0.6315
Mo1 Mo 0.6667 0.3333 0.3799
La1 La 0.0000 0.0000 0.9885
```

Values from the calculation:
- magnetization (μB/f.u.) = 0.00
- calculated formation energy (eV/f.u.) = 1.83
- crystal system = trigonal
- energy above the most stable polymorph in this dataset (meV/atom) = 373.0
- space-group type = P3m1, No. 156

(2)
This record from the Alexandria database describes crystalline LaNiMo at its relaxed geometry. The functional is PBE.

```
data_LaNiMo
_chemical_formula_sum 'La1 Ni1 Mo1'
_space_group_name_H-M_alt 'P 1'
_space_group_IT_number 1
_cell_length_a 4.5841
_cell_length_b 4.5841
_cell_length_c 4.5841
_cell_angle_alpha 60.00
_cell_angle_beta 60.00
_cell_angle_gamma 60.00
loop_
_space_group_symop_operation_xyz
'x,y,z'
loop_
_atom_site_label
_atom_site_type_symbol
_atom_site_fract_x
_atom_site_fract_y
_atom_site_fract_z
Mo1 Mo 0.5000 0.5000 0.5000
La1 La 0.0000 0.0000 0.0000
Ni1 Ni 0.7500 0.7500 0.7500
```

Values from the calculation:
- magnetization (μB/f.u.) = 3.38
- calculated formation energy (eV/f.u.) = 1.97
- crystal system = cubic
- energy above the most stable polymorph in this dataset (meV/atom) = 419.0
- space-group type = F-43m, No. 216

(3)
This record from the Alexandria database describes crystalline La2NiMo at its relaxed geometry. The functional is PBE.

```
data_La2NiMo
_chemical_formula_sum 'La2 Ni1 Mo1'
_space_group_name_H-M_alt 'P 1'
_space_group_IT_number 1
_cell_length_a 5.0555
_cell_length_b 5.0555
_cell_length_c 5.0555
_cell_angle_alpha 60.00
_cell_angle_beta 60.00
_cell_angle_gamma 60.00
loop_
_space_group_symop_operation_xyz
'x,y,z'
loop_
_atom_site_label
_atom_site_type_symbol
_atom_site_fract_x
_atom_site_fract_y
_atom_site_fract_z
La1 La 0.2500 0.2500 0.2500
La2 La 0.7500 0.7500 0.7500
Mo1 Mo 0.5000 0.5000 0.5000
Ni1 Ni 0.0000 0.0000 0.0000
```

Values from the calculation:
- magnetization (μB/f.u.) = 0.00
- calculated formation energy (eV/f.u.) = 1.31
- crystal system = cubic
- energy above the most stable polymorph in this dataset (meV/atom) = 210.6
- space-group type = Fm-3m, No. 225

(4)
This record from the Alexandria database describes crystalline LaNiMo at its relaxed geometry. The functional is PBE.

```
data_LaNiMo
_chemical_formula_sum 'La1 Ni1 Mo1'
_space_group_name_H-M_alt 'P 1'
_space_group_IT_number 1
_cell_length_a 4.5446
_cell_length_b 4.5446
_cell_length_c 4.5446
_cell_angle_alpha 60.00
_cell_angle_beta 60.00
_cell_angle_gamma 60.00
loop_
_space_group_symop_operation_xyz
'x,y,z'
loop_
_atom_site_label
_atom_site_type_symbol
_atom_site_fract_x
_atom_site_fract_y
_atom_site_fract_z
Mo1 Mo 0.0000 0.0000 0.0000
La1 La 0.7500 0.7500 0.7500
Ni1 Ni 0.5000 0.5000 0.5000
```

Values from the calculation:
- magnetization (μB/f.u.) = 2.70
- calculated formation energy (eV/f.u.) = 3.69
- crystal system = cubic
- energy above the most stable polymorph in this dataset (meV/atom) = 991.6
- space-group type = F-43m, No. 216

(5)
This record from the Alexandria database describes crystalline La2NiMo at its relaxed geometry. The functional is PBE.

```
data_La2NiMo
_chemical_formula_sum 'La2 Ni1 Mo1'
_space_group_name_H-M_alt 'P 1'
_space_group_IT_number 1
_cell_length_a 3.6107
_cell_length_b 3.5727
_cell_length_c 8.0900
_cell_angle_alpha 63.66
_cell_angle_beta 90.00
_cell_angle_gamma 90.00
loop_
_space_group_symop_operation_xyz
'x,y,z'
loop_
_atom_site_label
_atom_site_type_symbol
_atom_site_fract_x
_atom_site_fract_y
_atom_site_fract_z
Mo1 Mo 0.5000 0.2500 0.2500
La1 La 0.0000 0.4892 0.5108
La2 La 0.0000 0.0108 0.9892
Ni1 Ni 0.5000 0.7500 0.7500
```

Values from the calculation:
- magnetization (μB/f.u.) = 1.53
- calculated formation energy (eV/f.u.) = 1.07
- crystal system = monoclinic
- energy above the most stable polymorph in this dataset (meV/atom) = 151.7
- space-group type = P2/m, No. 10

(6)
This record from the Alexandria database describes crystalline La2NiMo at its relaxed geometry. The functional is PBE.

```
data_La2NiMo
_chemical_formula_sum 'La2 Ni1 Mo1'
_space_group_name_H-M_alt 'P 1'
_space_group_IT_number 1
_cell_length_a 7.4969
_cell_length_b 5.0832
_cell_length_c 3.5705
_cell_angle_alpha 84.28
_cell_angle_beta 70.06
_cell_angle_gamma 128.14
loop_
_space_group_symop_operation_xyz
'x,y,z'
loop_
_atom_site_label
_atom_site_type_symbol
_atom_site_fract_x
_atom_site_fract_y
_atom_site_fract_z
Mo1 Mo 0.0000 0.5000 0.5000
La1 La 0.5000 0.0000 0.5000
La2 La 0.0000 0.0000 0.0000
Ni1 Ni 0.5000 0.5000 0.0000
```

Values from the calculation:
- magnetization (μB/f.u.) = 0.00
- calculated formation energy (eV/f.u.) = 1.13
- crystal system = monoclinic
- energy above the most stable polymorph in this dataset (meV/atom) = 164.9
- space-group type = C2/m, No. 12

(7)
This record from the Alexandria database describes crystalline LaNiMoP2 at its relaxed geometry. The functional is PBE.

```
data_LaNiMoP2
_chemical_formula_sum 'La1 Ni1 Mo1 P2'
_space_group_name_H-M_alt 'P 1'
_space_group_IT_number 1
_cell_length_a 3.9337
_cell_length_b 3.9337
_cell_length_c 6.4175
_cell_angle_alpha 107.85
_cell_angle_beta 107.85
_cell_angle_gamma 90.00
loop_
_space_group_symop_operation_xyz
'x,y,z'
loop_
_atom_site_label
_atom_site_type_symbol
_atom_site_fract_x
_atom_site_fract_y
_atom_site_fract_z
Ni1 Ni 0.7500 0.2500 0.5000
P1 P 0.6391 0.6391 0.2783
P2 P 0.3609 0.3609 0.7217
Mo1 Mo 0.2500 0.7500 0.5000
La1 La 0.0000 0.0000 0.0000
```

Values from the calculation:
- magnetization (μB/f.u.) = 0.01
- calculated formation energy (eV/f.u.) = -4.37
- crystal system = tetragonal
- space-group type = I-4m2, No. 119

(8)
This record from the Alexandria database describes crystalline LaNiMoPb2 at its relaxed geometry. The functional is PBE.

```
data_LaNiMoPb2
_chemical_formula_sum 'La1 Ni1 Mo1 Pb2'
_space_group_name_H-M_alt 'P 1'
_space_group_IT_number 1
_cell_length_a 5.0415
_cell_length_b 4.9486
_cell_length_c 5.0415
_cell_angle_alpha 90.00
_cell_angle_beta 90.00
_cell_angle_gamma 90.00
loop_
_space_group_symop_operation_xyz
'x,y,z'
loop_
_atom_site_label
_atom_site_type_symbol
_atom_site_fract_x
_atom_site_fract_y
_atom_site_fract_z
Pb1 Pb 0.5000 0.0000 0.0000
Pb2 Pb 0.0000 0.0000 0.5000
Ni1 Ni 0.0000 0.0000 0.0000
La1 La 0.5000 0.5000 0.5000
Mo1 Mo 0.0000 0.5000 0.0000
```

Values from the calculation:
- magnetization (μB/f.u.) = 2.01
- calculated formation energy (eV/f.u.) = 2.31
- crystal system = tetragonal
- space-group type = P4/mmm, No. 123